ScCuSiPd | PBE | optimized geometry

Properties
* calculated total energy: -5.606 eV/atom
* space group: F-43m

abc: 4.4298 4.4298 4.4298
angles: 60.00 60.00 60.00
Fractional coordinates of all 4 atoms:
1 Pd 0.5000 0.5000 0.5000
2 Cu 0.2500 0.2500 0.2500
3 Sc 0.7500 0.7500 0.7500
4 Si 0.0000 0.0000 0.0000